{"formula": "CeGd2Si", "functional": "PBE-GGA", "state": "relaxed", "lattice": [[4.707, 0.000, 0.000], [0.000, 4.707, 0.000], [0.000, 0.000, 4.494]], "species": ["Ce", "Gd", "Gd", "Si"], "fractional_positions": [[0.000, 0.000, 0.000], [0.000, 0.500, 0.500], [0.500, 0.000, 0.500], [0.500, 0.500, 0.000]], "e_above_lowest_polymorph_ev_per_atom": 0.000, "mass_density_g_cm3": 8.0, "formation_energy_uncorrected_ev_per_atom": -0.264}

{"formula": "AlSi2Ir", "functional": "PBE-GGA", "state": "relaxed", "lattice": [[1.501, 0.867, 7.546], [-1.501, 0.867, 7.546], [0.000, -1.733, 7.546]], "species": ["Al", "Si", "Si", "Ir"], "fractional_positions": [[0.000, 0.000, 0.000], [0.503, 0.503, 0.503], [0.755, 0.755, 0.755], [0.247, 0.247, 0.247]], "e_above_lowest_polymorph_ev_per_atom": 0.041, "mass_density_g_cm3": 7.8, "formation_energy_uncorrected_ev_per_atom": -0.160}

{"formula": "OsPb2Se", "functional": "PBE-GGA", "state": "relaxed", "lattice": [[1.729, 0.998, 9.756], [-1.729, 0.998, 9.756], [0.000, -1.997, 9.756]], "species": ["Os", "Pb", "Pb", "Se"], "fractional_positions": [[0.000, 0.000, 0.000], [0.511, 0.511, 0.511], [0.743, 0.743, 0.743], [0.287, 0.287, 0.287]], "mass_density_g_cm3": 11.2, "formation_energy_uncorrected_ev_per_atom": 0.271}

{"formula": "Pr2Dy3YS6", "functional": "PBE-GGA", "state": "relaxed", "lattice": [[8.674, -1.975, 0.000], [8.674, 1.975, 0.000], [-1.924, 0.000, 7.783]], "species": ["Pr", "Pr", "Dy", "Dy", "Dy", "Y", "S", "S", "S", "S", "S", "S"], "fractional_positions": [[0.168, 0.168, 0.335], [0.832, 0.832, 0.665], [0.169, 0.169, 0.833], [0.500, 0.500, 0.500], [0.831, 0.831, 0.167], [0.500, 0.500, 0.000], [0.005, 0.005, 0.752], [0.334, 0.334, 0.929], [0.338, 0.338, 0.406], [0.662, 0.662, 0.594], [0.666, 0.666, 0.071], [0.995, 0.995, 0.248]], "mass_density_g_cm3": 6.5, "formation_energy_uncorrected_ev_per_atom": -2.002}

{"formula": "Zr5Ir3", "functional": "PBE-GGA", "state": "relaxed", "lattice": [[8.081, 0.000, 0.000], [-4.041, 6.999, 0.000], [0.000, 0.000, 5.535]], "species": ["Zr", "Zr", "Zr", "Zr", "Zr", "Zr", "Zr", "Zr", "Zr", "Zr", "Ir", "Ir", "Ir", "Ir", "Ir", "Ir"], "fractional_positions": [[0.000, 0.242, 0.250], [0.000, 0.758, 0.750], [0.242, 0.000, 0.250], [0.242, 0.242, 0.750], [0.333, 0.667, 0.000], [0.333, 0.667, 0.500], [0.667, 0.333, 0.000], [0.667, 0.333, 0.500], [0.758, 0.000, 0.750], [0.758, 0.758, 0.250], [0.000, 0.396, 0.750], [0.000, 0.604, 0.250], [0.396, 0.000, 0.750], [0.396, 0.396, 0.250], [0.604, 0.000, 0.250], [0.604, 0.604, 0.750]], "e_above_lowest_polymorph_ev_per_atom": 0.008, "mass_density_g_cm3": 11.0, "delta_e_f_mev_per_atom": -724}

{"formula": "Ta3AlP", "functional": "PBE-GGA", "state": "relaxed", "lattice": [[4.589, 0.000, 0.000], [0.000, 4.589, 0.000], [0.000, 0.000, 4.589]], "species": ["Ta", "Ta", "Ta", "Al", "P"], "fractional_positions": [[0.000, 0.000, 0.500], [0.000, 0.500, 0.000], [0.500, 0.000, 0.000], [0.500, 0.500, 0.500], [0.000, 0.000, 0.000]], "e_above_lowest_polymorph_ev_per_atom": 0.000, "mass_density_g_cm3": 10.3, "delta_e_f_mev_per_atom": 374}